[1]
The following is a DFT calculation (GGA+U) of a geometry-optimized Ba3GaFe2O9 structure.

extended XYZ file:
```
15
Lattice="5.7113 0.0000 0.0000 -2.8556 4.9461 0.0000 0.0000 0.0000 6.9904" Properties=species:S:1:pos:R:3 pbc="T T T"
Ba 0.0000 0.0000 0.0000
Ba 0.0000 3.2974 4.6582
Ba 2.8557 1.6487 2.3322
Ga 0.0000 0.0000 3.4952
Fe 0.0000 3.2974 1.1768
Fe 2.8557 1.6487 5.8136
O -1.4278 2.4731 0.0000
O 0.0000 1.6599 2.3166
O -1.4181 4.1162 2.3166
O 1.4375 0.8299 4.6739
O 2.8556 0.0000 0.0000
O 1.4278 2.4731 0.0000
O 1.4181 4.1162 2.3166
O 4.2738 0.8299 4.6739
O 2.8556 3.2862 4.6739
```

Calculated values
For the density of states at the Fermi level, the calculation gives 12.11 states/eV/f.u.

---

[2]
The following is a DFT calculation (GGA+U) of a geometry-optimized Ba2Ga2FeO6 structure.

extended XYZ file:
```
11
Lattice="2.9872 1.7247 5.7062 -2.9872 1.7247 5.7062 0.0000 -3.4493 5.7062" Properties=species:S:1:pos:R:3 pbc="T T T"
Ba 0.0000 0.0000 3.6027
Ba 0.0000 0.0000 13.5158
Ga 0.0000 0.0000 7.0799
Ga 0.0000 0.0000 10.0387
Fe 0.0000 0.0000 0.0000
O -1.5492 -0.8945 9.9945
O 0.0000 -1.7889 7.1240
O -1.5492 0.8945 7.1240
O 1.5493 -0.8945 9.9945
O 0.0000 1.7889 9.9945
O 1.5492 0.8945 7.1240
```

---

Per-record magnetic moment, Bohr magnetons per cell: 7.4 4.0
Per-record uncorrected energy, eV/atom: -6.1697 -6.0503